No. 1
Sc4Co3Ru | PBE | relaxed

```
Sc4Co3Ru
1.0
3.157 0.000 0.000
0.000 3.157 0.000
0.000 0.000 12.488
Sc Co Ru
4 3 1
Cartesian
0.000 0.000 1.583 Sc
0.000 0.000 7.791 Sc
0.000 0.000 4.697 Sc
0.000 0.000 10.905 Sc
1.579 1.579 3.186 Co
1.579 1.579 9.301 Co
1.579 1.579 6.244 Co
1.579 1.579 0.000 Ru
```

Calculated values
E_form, eV/atom: -0.411
Calculated density, g/cm³: 6.11
Electronic total energy, eV per atom: -7.40



No. 2
ScCoRu3 | PBE | relaxed

```
ScCoRu3
1.0
4.546 0.000 0.000
0.000 4.546 0.000
0.000 0.000 4.546
Co Ru Sc
1 3 1
Cartesian
2.273 2.273 2.273 Co
2.273 0.000 0.000 Ru
0.000 2.273 0.000 Ru
0.000 0.000 2.273 Ru
0.000 0.000 0.000 Sc
```

Calculated values
E_form, eV/atom: 1.812
Calculated density, g/cm³: 7.20
Relative energy among the computed polymorphs, meV/atom: 1014.3
Electronic total energy, eV per atom: -6.44



No. 3
Sc2CoRu | PBE | relaxed

```
Sc2CoRu
1.0
-2.280 -1.934 1.065
-0.409 -1.135 -2.936
4.861 -5.031 1.267
Sc Co Ru
2 1 1
Cartesian
0.190 -3.122 -0.535 Sc
4.560 -4.721 1.189 Sc
2.562 -2.652 0.668 Co
2.151 -5.152 -0.024 Ru
```

Calculated values
E_form, eV/atom: -0.079
Calculated density, g/cm³: 5.79
Relative energy among the computed polymorphs, meV/atom: 388.5
Electronic total energy, eV per atom: -7.34



No. 4
Sc2CoRu | PBE | relaxed

```
Sc2CoRu
1.0
4.490 0.000 0.000
2.245 3.889 0.000
2.245 1.296 3.666
Co Sc Ru
1 2 1
Cartesian
4.490 2.593 1.833 Co
2.245 1.296 0.917 Sc
0.000 0.000 0.000 Sc
6.736 3.889 2.750 Ru
```

Calculated values
E_form, eV/atom: -0.066
Calculated density, g/cm³: 6.48
Relative energy among the computed polymorphs, meV/atom: 402.0
Electronic total energy, eV per atom: -7.33